A relaxed structure of Fe2Ni9Pd, computed with PBE.

Values from the calculation:
Density of states at the Fermi level in states/eV/cell: 13.31
Formation energy in eV per atom: -0.046

Cell lengths 3.583, 3.583, 10.714 Å; angles 90.00, 90.00, 90.00 degrees
Positions (direct):
Ni (0.000, 0.500, 0.176)
Ni (0.500, 0.500, 0.337)
Ni (0.000, 0.500, 0.500)
Ni (0.000, 0.500, 0.824)
Ni (0.500, 0.000, 0.176)
Ni (0.500, 0.000, 0.500)
Ni (0.500, 0.000, 0.824)
Ni (0.500, 0.500, 0.663)
Ni (0.500, 0.500, 0.000)
Fe (0.000, 0.000, 0.335)
Fe (0.000, 0.000, 0.665)
Pd (0.000, 0.000, 0.000)